No. 1
Below is a relaxed LaTeP2 crystal, with properties calculated at the GGA-PBE level.

Values from the calculation:
The size of the total moment comes out at 0.0 μB/f.u. Its total energy is -19.2 eV per formula unit. The space group is F-43m.

Lattice parameters (Å, degrees): 5.147 5.147 5.147 60.00 60.00 60.00
Fractional coordinates of all 4 atoms:
1 La 0.500 0.500 0.500
2 P 0.000 0.000 0.000
3 P 0.750 0.750 0.750
4 Te 0.250 0.250 0.250

***

No. 2
Below is a relaxed Dy12Er6Cd crystal, with properties calculated at the GGA-PBE level.

Values from the calculation:
The size of the total moment comes out at 0.0 μB/f.u. The space group is R-3. As for the formation energy: 0.108 eV per atom. For the relative energy among the computed polymorphs, the calculation gives 0 meV/atom.

Lattice parameters (Å, degrees): 8.411 8.411 8.411 88.79 88.79 88.79
Fractional coordinates of all 19 atoms:
1 Dy 0.434 0.782 0.538
2 Dy 0.566 0.218 0.462
3 Dy 0.015 0.178 0.364
4 Dy 0.462 0.566 0.218
5 Dy 0.178 0.364 0.015
6 Dy 0.636 0.985 0.822
7 Dy 0.364 0.015 0.178
8 Dy 0.822 0.636 0.985
9 Dy 0.782 0.538 0.434
10 Dy 0.538 0.434 0.782
11 Dy 0.218 0.462 0.566
12 Dy 0.985 0.822 0.636
13 Er 0.288 0.739 0.902
14 Er 0.739 0.902 0.288
15 Er 0.098 0.712 0.261
16 Er 0.261 0.098 0.712
17 Er 0.902 0.288 0.739
18 Er 0.712 0.261 0.098
19 Cd 0.000 0.000 0.000

***

No. 3
Below is a relaxed Ag5PdAu4 crystal, with properties calculated at the GGA-PBE level.

Values from the calculation:
The size of the total moment comes out at 0.0 μB/f.u. The space group is P4/mmm. As for the formation energy: -0.050 eV per atom. For the relative energy among the computed polymorphs, the calculation gives 0 meV/atom.

Lattice parameters (Å, degrees): 2.924 2.924 20.635 90.00 90.00 90.00
Fractional coordinates of all 10 atoms:
1 Au 0.000 0.000 0.601
2 Au 0.000 0.000 0.399
3 Au 0.000 0.000 0.196
4 Au 0.000 0.000 0.804
5 Ag 0.500 0.500 0.905
6 Ag 0.500 0.500 0.297
7 Ag 0.500 0.500 0.500
8 Ag 0.500 0.500 0.703
9 Ag 0.500 0.500 0.095
10 Pd 0.000 0.000 0.000

***

No. 4
Below is a relaxed ErMg2Pb9 crystal, with properties calculated at the GGA-PBE level.

Values from the calculation:
The size of the total moment comes out at 0.0 μB/f.u. The space group is P4/mmm. As for the formation energy: -0.068 eV per atom.

Lattice parameters (Å, degrees): 4.780 4.780 15.254 90.00 90.00 90.00
Fractional coordinates of all 12 atoms:
1 Mg 0.000 0.000 0.335
2 Mg 0.000 0.000 0.665
3 Pb 0.000 0.500 0.832
4 Pb 0.500 0.000 0.832
5 Pb 0.500 0.500 0.000
6 Pb 0.000 0.500 0.500
7 Pb 0.500 0.500 0.666
8 Pb 0.500 0.000 0.500
9 Pb 0.500 0.500 0.334
10 Pb 0.500 0.000 0.168
11 Pb 0.000 0.500 0.168
12 Er 0.000 0.000 0.000

***

No. 5
Below is a relaxed Tl2FeAs crystal, with properties calculated at the GGA-PBE level.

Values from the calculation:
The size of the total moment comes out at 2.8 μB/f.u. The space group is R-3m. As for the formation energy: 0.600 eV per atom. For the relative energy among the computed polymorphs, the calculation gives 443 meV/atom.

Lattice parameters (Å, degrees): 8.702 8.702 8.702 23.10 23.10 23.10
Fractional coordinates of all 4 atoms:
1 As 0.250 0.250 0.250
2 Tl 0.004 0.004 0.004
3 Tl 0.496 0.496 0.496
4 Fe 0.750 0.750 0.750

***

No. 6
Below is a relaxed LiSeBrO2 crystal, with properties calculated at the GGA-PBE level.

Values from the calculation:
The size of the total moment comes out at 0.0 μB/f.u. Its total energy is -22.0 eV per formula unit. The space group is P2_1/m.

Lattice parameters (Å, degrees): 3.941 6.035 7.021 101.13 90.00 90.00
Fractional coordinates of all 10 atoms:
1 O 0.250 0.478 0.164
2 O 0.250 0.428 0.554
3 O 0.750 0.522 0.836
4 O 0.750 0.572 0.446
5 Se 0.250 0.643 0.387
6 Se 0.750 0.357 0.613
7 Li 0.750 0.320 0.055
8 Li 0.250 0.680 0.945
9 Br 0.250 0.040 0.779
10 Br 0.750 0.960 0.221